# MgSc2Zn (SCAN, single point on PBEsol structure)
# Crystal system: orthorhombic
data_MgSc2Zn
_chemical_formula_sum 'Mg2 Sc4 Zn2'
_symmetry_space_group_name_H-M 'I m m 2'
_symmetry_Int_Tables_number 44
_cell_length_a 3.2936
_cell_length_b 4.9230
_cell_length_c 10.0928
_cell_angle_alpha 90.00
_cell_angle_beta 90.00
_cell_angle_gamma 90.00
loop_
_symmetry_equiv_pos_as_xyz
'x,y,z'
'-x,-y,z'
'-x,y,z'
'x,-y,z'
'x+1/2,y+1/2,z+1/2'
'-x+1/2,-y+1/2,z+1/2'
'-x+1/2,y+1/2,z+1/2'
'x+1/2,-y+1/2,z+1/2'
loop_
_atom_site_label
_atom_site_type_symbol
_atom_site_fract_x
_atom_site_fract_y
_atom_site_fract_z
Mg1 Mg 0.0000 0.0000 0.0000
Sc1 Sc 0.0000 0.0000 0.5593
Sc2 Sc 0.0000 0.5000 0.7789
Zn1 Zn 0.0000 0.5000 0.2878

# MgScZn2 (SCAN, single point on PBEsol structure)
# Crystal system: tetragonal
data_MgScZn2
_chemical_formula_sum 'Mg1 Sc1 Zn2'
_symmetry_space_group_name_H-M 'P 4 m m'
_symmetry_Int_Tables_number 99
_cell_length_a 3.0554
_cell_length_b 3.0554
_cell_length_c 7.6575
_cell_angle_alpha 90.00
_cell_angle_beta 90.00
_cell_angle_gamma 90.00
loop_
_symmetry_equiv_pos_as_xyz
'x,y,z'
'-y,x,z'
'-x,-y,z'
'y,-x,z'
'-x,y,z'
'y,x,z'
'x,-y,z'
'-y,-x,z'
loop_
_atom_site_label
_atom_site_type_symbol
_atom_site_fract_x
_atom_site_fract_y
_atom_site_fract_z
Mg1 Mg 0.0000 0.0000 0.0000
Sc1 Sc 0.5000 0.5000 0.3157
Zn1 Zn 0.0000 0.0000 0.5585
Zn2 Zn 0.5000 0.5000 0.7530

# MgScZn2 (SCAN, single point on PBEsol structure)
# Crystal system: orthorhombic
data_MgScZn2
_chemical_formula_sum 'Mg2 Sc2 Zn4'
_symmetry_space_group_name_H-M 'A m m 2'
_symmetry_Int_Tables_number 38
_cell_length_a 4.3014
_cell_length_b 3.2466
_cell_length_c 10.3345
_cell_angle_alpha 90.00
_cell_angle_beta 90.00
_cell_angle_gamma 90.00
loop_
_symmetry_equiv_pos_as_xyz
'x,y,z'
'-x,-y,z'
'-x,y,z'
'x,-y,z'
'x,y+1/2,z+1/2'
'-x,-y+1/2,z+1/2'
'-x,y+1/2,z+1/2'
'x,-y+1/2,z+1/2'
loop_
_atom_site_label
_atom_site_type_symbol
_atom_site_fract_x
_atom_site_fract_y
_atom_site_fract_z
Mg1 Mg 0.0000 0.0000 0.0000
Sc1 Sc 0.5000 0.0000 0.3144
Zn1 Zn 0.0000 0.0000 0.7269
Zn2 Zn 0.5000 0.0000 0.5892

# MgScZn (SCAN, single point on PBEsol structure)
# Crystal system: cubic
data_MgScZn
_chemical_formula_sum 'Mg4 Sc4 Zn4'
_symmetry_space_group_name_H-M 'F -4 3 m'
_symmetry_Int_Tables_number 216
_symmetry_space_group_name_Hall 'F -4 2 3'
_cell_length_a 6.4060
_cell_length_b 6.4060
_cell_length_c 6.4060
_cell_angle_alpha 90.00
_cell_angle_beta 90.00
_cell_angle_gamma 90.00
loop_
_atom_site_label
_atom_site_type_symbol
_atom_site_fract_x
_atom_site_fract_y
_atom_site_fract_z
Mg1 Mg 0.0000 0.0000 0.0000
Sc1 Sc 0.2500 0.2500 0.7500
Zn1 Zn 0.2500 0.2500 0.2500

# MgSc2Zn (SCAN, single point on PBEsol structure)
# Crystal system: tetragonal
data_MgSc2Zn
_chemical_formula_sum 'Mg1 Sc2 Zn1'
_symmetry_space_group_name_H-M 'P 4 m m'
_symmetry_Int_Tables_number 99
_cell_length_a 3.1270
_cell_length_b 3.1270
_cell_length_c 8.3891
_cell_angle_alpha 90.00
_cell_angle_beta 90.00
_cell_angle_gamma 90.00
loop_
_symmetry_equiv_pos_as_xyz
'x,y,z'
'-y,x,z'
'-x,-y,z'
'y,-x,z'
'-x,y,z'
'y,x,z'
'x,-y,z'
'-y,-x,z'
loop_
_atom_site_label
_atom_site_type_symbol
_atom_site_fract_x
_atom_site_fract_y
_atom_site_fract_z
Mg1 Mg 0.0000 0.0000 0.0000
Sc1 Sc 0.0000 0.0000 0.5672
Sc2 Sc 0.5000 0.5000 0.2849
Zn1 Zn 0.5000 0.5000 0.7854

# MgZr2Sc (SCAN, single point on PBEsol structure)
# Crystal system: tetragonal
data_MgZr2Sc
_chemical_formula_sum 'Mg1 Zr2 Sc1'
_symmetry_space_group_name_H-M 'P 4/m m m'
_symmetry_Int_Tables_number 123
_symmetry_space_group_name_Hall '-P 4 2'
_cell_length_a 5.1641
_cell_length_b 5.1641
_cell_length_c 3.2830
_cell_angle_alpha 90.00
_cell_angle_beta 90.00
_cell_angle_gamma 90.00
loop_
_atom_site_label
_atom_site_type_symbol
_atom_site_fract_x
_atom_site_fract_y
_atom_site_fract_z
Mg1 Mg 0.0000 0.0000 0.0000
Zr1 Zr 0.0000 0.5000 0.5000
Sc1 Sc 0.5000 0.5000 0.0000

Number 1: final energy -11.91 eV/atom. Number 2: final energy -11.74 eV/atom. Number 3: final energy -11.87 eV/atom. Number 4: final energy -10.58 eV/atom. Number 5: final energy -11.92 eV/atom. Number 6: final energy -20.01 eV/atom.